# 1
Density functional theory data (GGA-PBE) for BeTcOF2 after structural relaxation.

Lattice parameters (Å, degrees): 4.2181 4.2181 3.7550 90.00 90.00 90.00
Fractional positions:
Be 0.5000 0.5000 0.5000
Tc 0.0000 0.0000 0.0000
O 0.0000 0.0000 0.5000
F 0.5000 0.0000 0.0000
F 0.0000 0.5000 0.0000

Summary:
- Mass density: 4.0 g/cm³
- Formation energy without anion corrections: -627 meV/atom
- Fermi-level density of states: 0.8704 states/eV per atom
- ΔE to the lowest computed polymorph: 407 kJ/mol of formula units
- SG: P4/mmm

# 2
Density functional theory data (GGA-PBE) for BeTcO2F after structural relaxation.

Lattice parameters (Å, degrees): 3.8068 3.8068 4.3409 90.00 90.00 90.00
Fractional positions:
O 0.0000 0.5000 0.0000
O 0.5000 0.0000 0.0000
Be 0.5000 0.5000 0.5000
F 0.0000 0.0000 0.5000
Tc 0.0000 0.0000 0.0000

Summary:
- Mass density: 4.2 g/cm³
- Formation energy without anion corrections: -615 meV/atom
- Fermi-level density of states: 0.2634 states/eV per atom
- SG: P4/mmm

# 3
Density functional theory data (GGA-PBE) for BeTcOF2 after structural relaxation.

Lattice parameters (Å, degrees): 3.1582 3.1582 5.8539 90.00 90.00 90.00
Fractional positions:
O 0.0000 0.0000 0.5000
F 0.0000 0.5000 0.0000
F 0.5000 0.0000 0.0000
Tc 0.5000 0.5000 0.5000
Be 0.0000 0.0000 0.0000

Summary:
- Mass density: 4.6 g/cm³
- Formation energy without anion corrections: -1471 meV/atom
- Fermi-level density of states: 0.2861 states/eV per atom
- ΔE to the lowest computed polymorph: 0 kJ/mol of formula units
- SG: P4/mmm

# 4
Density functional theory data (GGA-PBE) for BeTcO2F after structural relaxation.

Lattice parameters (Å, degrees): 3.7041 3.7041 3.2145 90.00 90.00 90.00
Fractional positions:
O 0.5000 0.0000 0.0000
O 0.0000 0.5000 0.0000
Be 0.0000 0.0000 0.0000
F 0.0000 0.0000 0.5000
Tc 0.5000 0.5000 0.5000

Summary:
- Mass density: 5.9 g/cm³
- Formation energy without anion corrections: -1155 meV/atom
- Fermi-level density of states: 0.1899 states/eV per atom
- SG: P4/mmm

# 5
Density functional theory data (GGA-PBE) for BeTeOF2 after structural relaxation.

Lattice parameters (Å, degrees): 4.9789 4.9789 2.8458 90.00 90.00 90.00
Fractional positions:
F 0.0000 0.5000 0.0000
F 0.5000 0.0000 0.0000
O 0.0000 0.0000 0.0000
Be 0.0000 0.0000 0.5000
Te 0.5000 0.5000 0.5000

Summary:
- Mass density: 4.5 g/cm³
- Formation energy without anion corrections: -1016 meV/atom
- Fermi-level density of states: 0.7857 states/eV per atom
- ΔE to the lowest computed polymorph: 303 kJ/mol of formula units
- SG: P4/mmm

# 6
Density functional theory data (GGA-PBE) for BeTeO2F after structural relaxation.

Lattice parameters (Å, degrees): 3.8577 3.8577 3.3367 90.00 90.00 90.00
Fractional positions:
O 0.5000 0.0000 0.0000
O 0.0000 0.5000 0.0000
Be 0.0000 0.0000 0.0000
Te 0.5000 0.5000 0.5000
F 0.0000 0.0000 0.5000

Summary:
- Mass density: 6.3 g/cm³
- Formation energy without anion corrections: -1245 meV/atom
- Fermi-level density of states: 0.3358 states/eV per atom
- SG: P4/mmm

# 7
Density functional theory data (GGA-PBE) for BeTeO2F after structural relaxation.

Lattice parameters (Å, degrees): 4.1669 4.1669 4.4549 90.00 90.00 90.00
Fractional positions:
F 0.0000 0.0000 0.5000
Te 0.0000 0.0000 0.0000
O 0.0000 0.5000 0.0000
O 0.5000 0.0000 0.0000
Be 0.5000 0.5000 0.5000

Summary:
- Mass density: 4.0 g/cm³
- Formation energy without anion corrections: -274 meV/atom
- Fermi-level density of states: 0.2262 states/eV per atom
- SG: P4/mmm

# 8
Density functional theory data (GGA-PBE) for BeTeOF2 after structural relaxation.

Lattice parameters (Å, degrees): 3.2927 3.2927 6.9206 90.00 90.00 90.00
Fractional positions:
F 0.5000 0.0000 0.0000
F 0.0000 0.5000 0.0000
Be 0.0000 0.0000 0.0000
O 0.0000 0.0000 0.5000
Te 0.5000 0.5000 0.5000

Summary:
- Mass density: 4.2 g/cm³
- Formation energy without anion corrections: -1644 meV/atom
- Fermi-level density of states: 0.3085 states/eV per atom
- ΔE to the lowest computed polymorph: 0 kJ/mol of formula units
- SG: P4/mmm

# 9
Density functional theory data (GGA-PBE) for BeTeOF2 after structural relaxation.

Lattice parameters (Å, degrees): 4.5856 4.5856 4.0733 90.00 90.00 90.00
Fractional positions:
Be 0.5000 0.5000 0.5000
F 0.5000 0.0000 0.0000
F 0.0000 0.5000 0.0000
O 0.0000 0.0000 0.5000
Te 0.0000 0.0000 0.0000

Summary:
- Mass density: 3.7 g/cm³
- Formation energy without anion corrections: -444 meV/atom
- Fermi-level density of states: 0.4023 states/eV per atom
- ΔE to the lowest computed polymorph: 579 kJ/mol of formula units
- SG: P4/mmm

# 10
Density functional theory data (GGA-PBE) for TiBeO2F after structural relaxation.

Lattice parameters (Å, degrees): 3.8536 3.8536 3.9163 90.00 90.00 90.00
Fractional positions:
Be 0.5000 0.5000 0.5000
Ti 0.0000 0.0000 0.0000
O 0.5000 0.0000 0.0000
O 0.0000 0.5000 0.0000
F 0.0000 0.0000 0.5000

Summary:
- Mass density: 3.1 g/cm³
- Formation energy without anion corrections: -1700 meV/atom
- Fermi-level density of states: 0.4630 states/eV per atom
- SG: P4/mmm

# 11
Density functional theory data (GGA-PBE) for BeTlOF2 after structural relaxation.

Lattice parameters (Å, degrees): 3.4712 3.4712 4.6305 90.00 90.00 90.00
Fractional positions:
O 0.0000 0.0000 0.5000
Tl 0.5000 0.5000 0.5000
F 0.5000 0.0000 0.0000
F 0.0000 0.5000 0.0000
Be 0.0000 0.0000 0.0000

Summary:
- Mass density: 8.0 g/cm³
- Formation energy without anion corrections: -1847 meV/atom
- Fermi-level density of states: 0.1848 states/eV per atom
- ΔE to the lowest computed polymorph: 0 kJ/mol of formula units
- SG: P4/mmm

# 12
Density functional theory data (GGA-PBE) for BeTlOF2 after structural relaxation.

Lattice parameters (Å, degrees): 4.5099 4.5099 4.1606 90.00 90.00 90.00
Fractional positions:
Be 0.5000 0.5000 0.5000
F 0.5000 0.0000 0.0000
F 0.0000 0.5000 0.0000
O 0.0000 0.0000 0.5000
Tl 0.0000 0.0000 0.0000

Summary:
- Mass density: 5.2 g/cm³
- Formation energy without anion corrections: -452 meV/atom
- Fermi-level density of states: 0.1941 states/eV per atom
- ΔE to the lowest computed polymorph: 673 kJ/mol of formula units
- SG: P4/mmm